Compound: CsTlBiPt
Source: Alexandria
Functional: GGA-PBE
Structure: relaxed

Cell: 8.1577 8.1577 8.1577 Å, 32.97 32.97 32.97°
Fractional positions:
1 Cs 0.0000 0.0000 0.0000
2 Tl 0.7858 0.7858 0.7858
3 Bi 0.5453 0.5453 0.5453
4 Pt 0.1796 0.1796 0.1796

Computed properties:
V   35.77 Å³/atom
Calculated formation energy   -260 meV/atom
DOS at the Fermi energy   2.29 states/eV/cell
ρ   8.6 g cm⁻³